[1]
Entry from the Alexandria database: KPd2Pt2 after structural relaxation (PBE).

- Excess energy over the best structure of this formula in the dataset: 192.7 meV per atom
- E_form: 0.182 eV/atom

Cell: 4.5687 4.5687 6.0330 Å, 67.75 67.75 90.00°
Last column: nearest neighbours and their distance in Å.
Fractional coordinates of all 5 atoms:
K 0.0000 0.0000 0.0000  8 Pd 3.42, 8 Pt 3.46
Pd 0.2500 0.7500 0.5000  4 Pt 2.63
Pt 0.3779 0.3779 0.2442  1 Pt 2.49, 4 Pd 2.63
Pd 0.7500 0.2500 0.5000  4 Pt 2.63
Pt 0.6221 0.6221 0.7558  1 Pt 2.49, 4 Pd 2.63


[2]
Entry from the Alexandria database: Tb3Pr4Sm3 after structural relaxation (PBE).

- E_form: 0.103 eV/atom

Cell: 3.8714 9.4709 9.4709 Å, 89.85 90.00 90.00°
Last column: nearest neighbours and their distance in Å.
Fractional coordinates of all 10 atoms:
Tb 0.5000 0.6688 0.6682  6 Pr 3.31-3.45
Tb 0.5000 0.3318 0.3312  6 Pr 3.31-3.45
Tb 0.5000 0.8312 0.1688  6 Pr 3.31-3.45
Pr 0.0000 0.1305 0.1317  4 Tb 3.31-3.45, 3 Sm 3.46-3.68, 1 Pr 3.52
Pr 0.0000 0.8683 0.8695  4 Tb 3.31-3.45, 3 Sm 3.46-3.68, 1 Pr 3.52
Sm 0.0000 0.9987 0.4980  4 Pr 3.68-3.73, 4 Sm 3.87-4.04, 6 Tb 4.00-4.02
Pr 0.0000 0.3699 0.6301  2 Sm 3.32, 4 Tb 3.45, 1 Pr 3.48
Pr 0.0000 0.6304 0.3696  6 Tb 3.31-3.45, 1 Pr 3.48, 2 Sm 3.70
Sm 0.0000 0.5020 0.0013  4 Pr 3.68-3.73, 4 Sm 3.87-4.04, 6 Tb 4.00-4.02
Sm 0.5000 0.1683 0.8317  6 Pr 3.32-3.46


[3]
Entry from the Alexandria database: RbLi3Bi after structural relaxation (PBE).

- Excess energy over the best structure of this formula in the dataset: 0.0 meV per atom
- E_form: -0.246 eV/atom

Cell: 5.5262 5.5262 5.5262 Å, 90.00 90.00 90.00°
Last column: nearest neighbours and their distance in Å.
Fractional coordinates of all 5 atoms:
Li 0.0000 0.5000 0.0000  2 Bi 2.76
Li 0.0000 0.0000 0.5000  2 Bi 2.76
Li 0.5000 0.0000 0.0000  2 Bi 2.76
Rb 0.5000 0.5000 0.5000  12 Li 3.91
Bi 0.0000 0.0000 0.0000  6 Li 2.76


[4]
Entry from the Alexandria database: Dy4SbAs2P after structural relaxation (PBE).

- Formation energy without anion corrections: -1.4146 eV/atom

Cell: 4.1521 7.1995 7.2268 Å, 70.63 90.00 90.00°
Last column: nearest neighbours and their distance in Å.
Fractional coordinates of all 8 atoms:
P 0.0000 0.5000 0.5000  6 Dy 2.91
As 0.0000 0.0000 0.0000  6 Dy 2.97-2.98
Dy 0.0000 0.7584 0.7361  3 As 2.88-2.98, 1 P 2.91, 2 Sb 3.01
Dy 0.5000 0.2495 0.7398  3 As 2.88-2.97, 2 P 2.91, 1 Sb 3.01
Dy 0.5000 0.7505 0.2602  3 As 2.88-2.97, 2 P 2.91, 1 Sb 3.01
Sb 0.5000 0.5000 0.0000  6 Dy 3.01
Dy 0.0000 0.2416 0.2639  3 As 2.88-2.98, 1 P 2.91, 2 Sb 3.01
As 0.5000 0.0000 0.5000  6 Dy 2.88


The records above yield N(E_F) values of 6.24; 11.26; 3.31; 0.89 states/eV/f.u., respectively.